Record 1
A plane-wave DFT calculation with PBEsol was carried out for crystalline LiSi2Mo at its relaxed geometry.

Calculated values
energy relative to the lowest polymorph listed for this composition	108	meV/atom
energy relative to the elements, uncorrected	-0.1407	eV/atom

a = 3.2903 Å, b = 3.2903 Å, c = 5.0075 Å
α = 90.00°, β = 90.00°, γ = 90.00°
Closest atoms and distances in Å follow each position.
Fractional positions:
1 Li 0.0000 0.0000 0.0000  6 Si 2.46-2.58, 4 Mo 2.72
2 Si 0.0000 0.0000 0.4905  2 Li 2.46-2.55, 4 Mo 2.55, 4 Si 2.73
3 Si 0.5000 0.5000 0.7758  2 Mo 2.48-2.53, 4 Li 2.58, 4 Si 2.73
4 Mo 0.5000 0.5000 0.2810  6 Si 2.48-2.55, 4 Li 2.72

---

Record 2
A plane-wave DFT calculation with PBEsol was carried out for crystalline LiSi2Mo at its relaxed geometry.

Calculated values
energy relative to the lowest polymorph listed for this composition	17	meV/atom
energy relative to the elements, uncorrected	-0.2323	eV/atom

a = 4.5936 Å, b = 4.5936 Å, c = 4.5936 Å
α = 132.98°, β = 132.98°, γ = 68.68°
Closest atoms and distances in Å follow each position.
Fractional positions:
1 Li 0.0000 0.0000 0.0000  4 Mo 2.59, 8 Si 2.64
2 Si 0.2500 0.7500 0.5000  4 Si 2.59, 4 Mo 2.64, 4 Li 2.64
3 Si 0.7500 0.2500 0.5000  4 Si 2.59, 4 Mo 2.64, 4 Li 2.64
4 Mo 0.5000 0.5000 0.0000  4 Li 2.59, 8 Si 2.64

---

Record 3
A plane-wave DFT calculation with PBEsol was carried out for crystalline LiSi2Mo at its relaxed geometry.

Calculated values
energy relative to the lowest polymorph listed for this composition	29	meV/atom
energy relative to the elements, uncorrected	-0.2205	eV/atom

a = 4.8062 Å, b = 4.8062 Å, c = 4.8062 Å
α = 139.10°, β = 133.84°, γ = 63.35°
Closest atoms and distances in Å follow each position.
Fractional positions:
1 Li 0.0000 0.0000 0.0000  8 Si 2.52-2.74, 4 Mo 2.68-2.75
2 Si 0.5021 0.5021 0.0000  4 Li 2.52, 2 Si 2.59, 4 Mo 2.63-2.80
3 Si 0.7435 0.2435 0.5000  4 Mo 2.53, 2 Si 2.59, 4 Li 2.69-2.74
4 Mo 0.2549 0.7549 0.5000  8 Si 2.53-2.80, 4 Li 2.68-2.75

---

Record 4
A plane-wave DFT calculation with PBEsol was carried out for crystalline LiSn3Mo at its relaxed geometry.

Calculated values
energy relative to the lowest polymorph listed for this composition	0	meV/atom
formation energy	258.4	meV/atom

a = 5.2311 Å, b = 5.2311 Å, c = 5.2311 Å
α = 90.00°, β = 90.00°, γ = 90.00°
Closest atoms and distances in Å follow each position.
Fractional positions:
1 Li 0.0000 0.0000 0.0000  12 Sn 3.70
2 Sn 0.0000 0.5000 0.5000  2 Mo 2.62
3 Sn 0.5000 0.0000 0.5000  2 Mo 2.62
4 Sn 0.5000 0.5000 0.0000  2 Mo 2.62
5 Mo 0.5000 0.5000 0.5000  6 Sn 2.62

---

Record 5
A plane-wave DFT calculation with PBEsol was carried out for crystalline LiSn3Mo at its relaxed geometry.

Calculated values
energy relative to the lowest polymorph listed for this composition	621	meV/atom
formation energy	879.4	meV/atom

a = 4.8279 Å, b = 4.8279 Å, c = 4.8279 Å
α = 90.00°, β = 90.00°, γ = 90.00°
Closest atoms and distances in Å follow each position.
Fractional positions:
1 Li 0.0000 0.0000 0.0000  6 Sn 2.41
2 Sn 0.0000 0.0000 0.5000  2 Li 2.41
3 Sn 0.0000 0.5000 0.0000  2 Li 2.41
4 Sn 0.5000 0.0000 0.0000  2 Li 2.41
5 Mo 0.5000 0.5000 0.5000  12 Sn 3.41

---

Record 6
A plane-wave DFT calculation with PBEsol was carried out for crystalline Sr2LiMo at its relaxed geometry.

Calculated values
energy relative to the lowest polymorph listed for this composition	0	meV/atom
formation energy	841.9	meV/atom

a = 5.5694 Å, b = 5.5694 Å, c = 3.8030 Å
α = 90.00°, β = 90.00°, γ = 90.00°
Closest atoms and distances in Å follow each position.
Fractional positions:
1 Sr 0.0000 0.5000 0.0000  4 Mo 3.37, 4 Li 3.37
2 Sr 0.5000 0.0000 0.0000  4 Mo 3.37, 4 Li 3.37
3 Li 0.0000 0.0000 0.5000  8 Sr 3.37
4 Mo 0.5000 0.5000 0.5000  8 Sr 3.37

---

Record 7
A plane-wave DFT calculation with PBEsol was carried out for crystalline SrLi2Mo at its relaxed geometry.

Calculated values
energy relative to the lowest polymorph listed for this composition	0	meV/atom
formation energy	669.4	meV/atom

a = 2.9071 Å, b = 2.9071 Å, c = 9.6136 Å
α = 90.00°, β = 90.00°, γ = 90.00°
Closest atoms and distances in Å follow each position.
Fractional positions:
1 Sr 0.0000 0.0000 0.0000  4 Sr 2.91, 4 Mo 3.24
2 Li 0.0000 0.0000 0.5347  4 Mo 2.84, 8 Li 2.91-2.98
3 Li 0.5000 0.5000 0.3101  8 Li 2.91-2.98
4 Mo 0.5000 0.5000 0.7391  4 Li 2.84, 4 Mo 2.91

---

Record 8
A plane-wave DFT calculation with PBEsol was carried out for crystalline SrLiMo2 at its relaxed geometry.

Calculated values
energy relative to the lowest polymorph listed for this composition	239	meV/atom
formation energy	924.8	meV/atom

a = 3.7791 Å, b = 3.7791 Å, c = 5.2797 Å
α = 90.00°, β = 90.00°, γ = 90.00°
Closest atoms and distances in Å follow each position.
Fractional positions:
1 Sr 0.0000 0.0000 0.0000  4 Li 2.67
2 Li 0.5000 0.5000 0.0000  4 Sr 2.67
3 Mo 0.0000 0.5000 0.5000  4 Mo 2.67
4 Mo 0.5000 0.0000 0.5000  4 Mo 2.67

---

Record 9
A plane-wave DFT calculation with PBEsol was carried out for crystalline SrLi2Mo at its relaxed geometry.

Calculated values
energy relative to the lowest polymorph listed for this composition	143	meV/atom
formation energy	812.3	meV/atom

a = 6.3968 Å, b = 6.3968 Å, c = 6.3968 Å
α = 153.76°, β = 130.64°, γ = 56.75°
Closest atoms and distances in Å follow each position.
Fractional positions:
1 Sr 0.0000 0.0000 0.0000  2 Sr 2.90, 4 Mo 3.04
2 Li 0.2838 0.7838 0.5000  2 Mo 2.83, 6 Li 2.90-3.13
3 Li 0.7162 0.2162 0.5000  2 Mo 2.83, 6 Li 2.90-3.13
4 Mo 0.5000 0.5000 0.0000  4 Li 2.83, 2 Mo 2.90, 4 Sr 3.04

---

Record 10
A plane-wave DFT calculation with PBEsol was carried out for crystalline Sr3LiMo at its relaxed geometry.

Calculated values
formation energy	1188.6	meV/atom

a = 5.9182 Å, b = 5.9182 Å, c = 5.9182 Å
α = 90.00°, β = 90.00°, γ = 90.00°
Closest atoms and distances in Å follow each position.
Fractional positions:
1 Sr 0.0000 0.0000 0.5000  2 Li 2.96
2 Sr 0.0000 0.5000 0.0000  2 Li 2.96
3 Sr 0.5000 0.0000 0.0000  2 Li 2.96
4 Li 0.0000 0.0000 0.0000  6 Sr 2.96
5 Mo 0.5000 0.5000 0.5000  12 Sr 4.18

---

Record 11
A plane-wave DFT calculation with PBEsol was carried out for crystalline SrLiMo2 at its relaxed geometry.

Calculated values
energy relative to the lowest polymorph listed for this composition	0	meV/atom
formation energy	685.7	meV/atom

a = 2.9866 Å, b = 2.9866 Å, c = 9.9181 Å
α = 90.00°, β = 90.00°, γ = 113.43°
Closest atoms and distances in Å follow each position.
Fractional positions:
1 Sr 0.0000 0.0000 0.0000  6 Sr 2.99-3.28, 2 Mo 3.17
2 Li 0.5000 0.5000 0.6875  2 Mo 2.81, 4 Li 2.99
3 Mo 0.0000 0.0000 0.4578  2 Mo 2.45
4 Mo 0.5000 0.5000 0.2738  2 Mo 2.45

---

Record 12
A plane-wave DFT calculation with PBEsol was carried out for crystalline Sr2LiMo at its relaxed geometry.

Calculated values
energy relative to the lowest polymorph listed for this composition	20	meV/atom
formation energy	861.6	meV/atom

a = 6.5714 Å, b = 6.5714 Å, c = 6.5714 Å
α = 147.06°, β = 130.64°, γ = 60.62°
Closest atoms and distances in Å follow each position.
Fractional positions:
1 Sr 0.0000 0.0000 0.0000  4 Mo 3.34, 4 Sr 3.63-3.73, 4 Li 3.69-3.71
2 Sr 0.7093 0.2093 0.5000  2 Mo 3.35, 4 Li 3.42, 4 Sr 3.63-3.73
3 Li 0.2831 0.7831 0.5000  2 Mo 2.78
4 Mo 0.4644 0.4644 0.0000  2 Li 2.78

---

Record 13
A plane-wave DFT calculation with PBEsol was carried out for crystalline Li2TaMo at its relaxed geometry.

Calculated values
energy relative to the lowest polymorph listed for this composition	582	meV/atom
formation energy	951.3	meV/atom

a = 5.5297 Å, b = 5.5297 Å, c = 5.5297 Å
α = 101.40°, β = 101.40°, γ = 127.20°
Closest atoms and distances in Å follow each position.
Fractional positions:
1 Li 0.1161 0.6250 0.9911  2 Li 2.46, 2 Mo 2.51, 2 Ta 2.59
2 Li 0.3750 0.3661 0.4911  2 Li 2.46, 2 Mo 2.51, 2 Ta 2.59
3 Li 0.6339 0.1250 0.0089  2 Li 2.46, 2 Mo 2.51, 2 Ta 2.59
4 Li 0.8750 0.8839 0.5089  2 Li 2.46, 2 Mo 2.51, 2 Ta 2.59
5 Ta 0.2500 0.7500 0.5000  2 Mo 2.46, 4 Li 2.59
6 Ta 0.5000 0.5000 0.0000  2 Mo 2.46, 4 Li 2.59
7 Mo 0.0000 0.0000 0.0000  2 Ta 2.46, 4 Li 2.51
8 Mo 0.7500 0.2500 0.5000  2 Ta 2.46, 4 Li 2.51

---

Record 14
A plane-wave DFT calculation with PBEsol was carried out for crystalline LiTaMo2 at its relaxed geometry.

Calculated values
energy relative to the lowest polymorph listed for this composition	108	meV/atom
formation energy	425.7	meV/atom

a = 2.6147 Å, b = 2.6147 Å, c = 9.4739 Å
α = 90.00°, β = 90.00°, γ = 90.00°
Closest atoms and distances in Å follow each position.
Fractional positions:
1 Li 0.0000 0.0000 0.0000  4 Li 2.61
2 Ta 0.5000 0.5000 0.7349  4 Ta 2.61
3 Mo 0.0000 0.0000 0.4881  4 Mo 2.61
4 Mo 0.5000 0.5000 0.2459  4 Mo 2.61

---

Record 15
A plane-wave DFT calculation with PBEsol was carried out for crystalline Li2TaMo at its relaxed geometry.

Calculated values
energy relative to the lowest polymorph listed for this composition	0	meV/atom
formation energy	369.4	meV/atom

a = 5.6741 Å, b = 5.6741 Å, c = 5.6741 Å
α = 149.80°, β = 135.85°, γ = 54.42°
Closest atoms and distances in Å follow each position.
Fractional positions:
1 Li 0.2440 0.2440 0.0000  4 Li 2.60, 2 Mo 2.87
2 Li 0.7560 0.7560 0.0000  4 Li 2.60, 2 Mo 2.87
3 Ta 0.5000 0.0000 0.5000  4 Mo 2.59
4 Mo 0.0000 0.5000 0.5000  4 Ta 2.59, 4 Li 2.87

---

Record 16
A plane-wave DFT calculation with PBEsol was carried out for crystalline LiTa2Mo at its relaxed geometry.

Calculated values
formation energy	334.1	meV/atom

a = 3.2611 Å, b = 3.2611 Å, c = 5.8570 Å
α = 90.00°, β = 90.00°, γ = 90.00°
Closest atoms and distances in Å follow each position.
Fractional positions:
1 Li 0.0000 0.0000 0.0000  4 Mo 2.67, 5 Ta 2.72-2.80
2 Ta 0.0000 0.0000 0.4773  4 Mo 2.72, 1 Li 2.80, 4 Ta 2.82
3 Ta 0.5000 0.5000 0.7550  4 Li 2.72, 1 Mo 2.78, 4 Ta 2.82
4 Mo 0.5000 0.5000 0.2295  4 Li 2.67, 5 Ta 2.72-2.78

---

Record 17
A plane-wave DFT calculation with PBEsol was carried out for crystalline Li3TaMo at its relaxed geometry.

Calculated values
energy relative to the lowest polymorph listed for this composition	0	meV/atom
formation energy	1868.0	meV/atom

a = 4.3282 Å, b = 4.3282 Å, c = 4.3282 Å
α = 90.00°, β = 90.00°, γ = 90.00°
Closest atoms and distances in Å follow each position.
Fractional positions:
1 Li 0.0000 0.0000 0.5000  2 Mo 2.16
2 Li 0.0000 0.5000 0.0000  2 Mo 2.16
3 Li 0.5000 0.0000 0.0000  2 Mo 2.16
4 Ta 0.5000 0.5000 0.5000  12 Li 3.06
5 Mo 0.0000 0.0000 0.0000  6 Li 2.16

---

Record 18
A plane-wave DFT calculation with PBEsol was carried out for crystalline LiTaMo2 at its relaxed geometry.

Calculated values
energy relative to the lowest polymorph listed for this composition	108	meV/atom
formation energy	425.8	meV/atom

a = 2.5764 Å, b = 4.3802 Å, c = 5.5396 Å
α = 90.00°, β = 90.00°, γ = 90.00°
Closest atoms and distances in Å follow each position.
Fractional positions:
1 Li 0.0000 0.0000 0.0000  2 Li 2.58, 2 Mo 2.72-2.82
2 Ta 0.5000 0.5000 0.7517  2 Ta 2.58, 2 Mo 2.76-2.78
3 Mo 0.0000 0.0000 0.4915  6 Mo 2.58-2.86, 2 Li 2.72-2.82
4 Mo 0.5000 0.5000 0.2539  6 Mo 2.58-2.86, 2 Ta 2.76-2.78

---

Record 19
A plane-wave DFT calculation with PBEsol was carried out for crystalline LiTa3Mo at its relaxed geometry.

Calculated values
formation energy	1270.4	meV/atom

a = 4.3397 Å, b = 4.3397 Å, c = 4.3397 Å
α = 90.00°, β = 90.00°, γ = 90.00°
Closest atoms and distances in Å follow each position.
Fractional positions:
1 Li 0.0000 0.0000 0.0000  6 Ta 2.17
2 Ta 0.0000 0.0000 0.5000  2 Li 2.17
3 Ta 0.0000 0.5000 0.0000  2 Li 2.17
4 Ta 0.5000 0.0000 0.0000  2 Li 2.17
5 Mo 0.5000 0.5000 0.5000  12 Ta 3.07

---

Record 20
A plane-wave DFT calculation with PBEsol was carried out for crystalline Li2TaMo at its relaxed geometry.

Calculated values
energy relative to the lowest polymorph listed for this composition	456	meV/atom
formation energy	825.5	meV/atom

a = 4.2603 Å, b = 4.2603 Å, c = 4.2603 Å
α = 60.00°, β = 60.00°, γ = 60.00°
Closest atoms and distances in Å follow each position.
Fractional positions:
1 Li 0.2500 0.2500 0.2500  4 Ta 2.61, 4 Mo 2.61
2 Li 0.7500 0.7500 0.7500  4 Ta 2.61, 4 Mo 2.61
3 Ta 0.0000 0.0000 0.0000  8 Li 2.61
4 Mo 0.5000 0.5000 0.5000  8 Li 2.61

---

| no. | electronic total energy (eV/atom) |
| --- | --- |
| 1 | -6.45 |
| 2 | -6.54 |
| 3 | -6.53 |
| 4 | -5.04 |
| 5 | -4.42 |
| 6 | -3.51 |
| 7 | -3.72 |
| 8 | -5.91 |
| 9 | -3.57 |
| 10 | -2.66 |
| 11 | -6.15 |
| 12 | -3.49 |
| 13 | -6.11 |
| 14 | -9.09 |
| 15 | -6.69 |
| 16 | -9.38 |
| 17 | -4.18 |
| 18 | -9.09 |
| 19 | -9.01 |
| 20 | -6.24 |